# 1
A relaxed structure of Os3C, computed with GGA-PBEsol.

Structure (extended XYZ):
```
4
Lattice="2.717 0.000 0.000 0.000 3.435 0.000 -1.359 -1.718 5.331" Properties=species:S:1:pos:R:3 pbc="T T T"
C 0.000 0.000 0.000
Os 1.359 1.718 0.000
Os 1.359 1.718 3.382
Os 0.000 0.000 1.948
```

For the calculated formation energy, the calculation gives 0.633 eV per atom. Its final energy is -10.94 eV per atom. For the total magnetization, the calculation gives 0.0 Bohr magnetons per cell. For the distance to the lowest polymorph of the same formula, the calculation gives 0.3295 eV/atom. The calculation puts the calculated volume at 49.8 Å³ per cell.



# 2
A relaxed structure of Os3C2, computed with GGA-PBEsol.

Structure (extended XYZ):
```
5
Lattice="-1.338 1.662 -1.744 -0.430 -0.794 -2.604 -7.701 -3.113 0.763" Properties=species:S:1:pos:R:3 pbc="T T T"
C -2.516 -0.061 -2.483
C -6.953 -2.184 -1.103
Os 0.000 0.000 0.000
Os -3.134 -0.928 -0.658
Os -6.336 -1.317 -2.927
```

For the calculated formation energy, the calculation gives 0.922 eV per atom. Its final energy is -10.27 eV per atom. For the total magnetization, the calculation gives 0.0 Bohr magnetons per cell. The calculation puts the calculated volume at 53.9 Å³ per cell.